No. 1
Material: YMgOs2
Method: DFT, PBE
State: optimized geometry

a b c (Å): 2.995 4.473 5.509
angles (deg): 90.00 103.38 90.00
Space group Pm (No. 6)
Symmetry-distinct sites (fractional):
Y1 0.000 0.000 0.000 x1
Mg1 0.634 0.500 0.255 x1
Os1 0.258 0.500 0.688 x1
Os2 0.540 0.000 0.519 x1

Calculated values
- D(E_F): 4.20 states/eV/f.u.
- Formation enthalpy at 0 K: 0.287 eV per atom
- Crystal system: monoclinic
- Spin magnetization: 0.000 μB/atom

***

No. 2
Material: MgRe2Os
Method: DFT, PBE
State: optimized geometry

a b c (Å): 3.045 4.506 8.816
angles (deg): 90.00 90.00 90.00
Space group Imm2 (No. 44)
Symmetry-distinct sites (fractional):
Mg1 0.000 0.000 0.000 x2
Re1 0.000 0.000 0.503 x2
Re2 0.000 0.500 0.238 x2
Os1 0.000 0.500 0.757 x2

Calculated values
- D(E_F): 3.48 states/eV/f.u.
- Formation enthalpy at 0 K: 0.287 eV per atom
- Crystal system: orthorhombic
- Spin magnetization: 0.000 μB/atom

***

No. 3
Material: MgZr2Si
Method: DFT, PBE
State: optimized geometry

a b c (Å): 3.761 4.373 9.612
angles (deg): 90.00 90.00 90.00
Space group Imm2 (No. 44)
Symmetry-distinct sites (fractional):
Mg1 0.000 0.000 0.000 x2
Zr1 0.000 0.000 0.535 x2
Zr2 0.000 0.500 0.771 x2
Si1 0.000 0.500 0.274 x2

Calculated values
- D(E_F): 2.88 states/eV/f.u.
- Crystal system: orthorhombic
- Spin magnetization: 0.000 μB/atom
- E_form (uncorrected): -0.240 eV per atom

***

No. 4
Material: Pr8SbS6
Method: DFT, PBE
State: optimized geometry

a b c (Å): 10.6152 10.6152 4.1792
angles (deg): 90.00 90.00 120.00
Space group P-3 (No. 147)
Symmetry-distinct sites (fractional):
Pr1 0.0342 0.3354 0.2453 x6
Pr2 0.3333 0.6667 0.7515 x2
Sb1 0.0000 0.0000 0.0000 x1
S1 0.1355 0.6526 0.2515 x6

Calculated values
- D(E_F): 7.47 states/eV/f.u.
- Crystal system: trigonal
- Spin magnetization: 0.000 μB/atom
- E_form (uncorrected): -1.593 eV per atom

***

No. 5
Material: TbHoBr3
Method: DFT, PBE
State: optimized geometry

a b c (Å): 18.124 3.915 10.827
angles (deg): 90.00 107.78 90.00
Space group C2/m (No. 12)
Symmetry-distinct sites (fractional):
Tb1 0.082 0.000 0.463 x4
Ho1 0.077 0.500 0.746 x4
Br1 0.079 0.500 0.258 x4
Br2 0.136 0.000 0.940 x4
Br3 0.194 0.500 0.622 x4

Calculated values
- Crystal system: monoclinic
- Spin magnetization: 0.000 μB/atom
- E above lowest polymorph: 0.352 kcal/mol of atoms
- E_form (uncorrected): -1.479 eV per atom

***

No. 6
Material: V4RhC
Method: DFT, PBE
State: optimized geometry

a b c (Å): 7.407 8.305 2.805
angles (deg): 90.00 90.00 90.00
Space group Cmmm (No. 65)
Symmetry-distinct sites (fractional):
V1 0.000 0.244 0.000 x4
V2 0.183 0.000 0.500 x4
Rh1 0.000 0.500 0.500 x2
C1 0.000 0.000 0.000 x2

Calculated values
- D(E_F): 7.25 states/eV/f.u.
- Formation enthalpy at 0 K: 0.170 eV per atom
- Crystal system: orthorhombic
- Spin magnetization: 0.000 μB/atom

***

No. 7
Material: K4OF2
Method: DFT, PBE
State: optimized geometry

a b c (Å): 6.729 11.576 3.974
angles (deg): 90.00 90.00 90.00
Space group Pbam (No. 55)
Symmetry-distinct sites (fractional):
K1 0.147 0.206 0.000 x4
K2 0.244 0.963 0.500 x4
O1 0.000 0.000 0.000 x2
F1 0.068 0.681 0.500 x4

Calculated values
- D(E_F): 0.00 states/eV/f.u.
- Crystal system: orthorhombic
- Spin magnetization: 0.014 μB/atom
- E above lowest polymorph: 0.000 kcal/mol of atoms
- E_form (uncorrected): -1.977 eV per atom

***

No. 8
Material: LiPr3Hg
Method: DFT, PBE
State: optimized geometry

a b c (Å): 5.345 20.883 5.369
angles (deg): 90.00 90.00 90.00
Space group Cmcm (No. 63)
Symmetry-distinct sites (fractional):
Li1 0.000 0.153 0.250 x4
Pr1 0.000 0.059 0.750 x4
Pr2 0.000 0.249 0.750 x4
Pr3 0.000 0.436 0.750 x4
Hg1 0.000 0.342 0.250 x4

Calculated values
- D(E_F): 5.38 states/eV/f.u.
- Formation enthalpy at 0 K: -0.165 eV per atom
- Crystal system: orthorhombic
- Spin magnetization: 0.047 μB/atom
- E above lowest polymorph: 0.000 kcal/mol of atoms

***

No. 9
Material: BeAlTl2W
Method: DFT, PBE
State: optimized geometry

a b c (Å): 4.739 4.739 4.537
angles (deg): 90.00 90.00 90.00
Space group P4/mmm (No. 123)
Symmetry-distinct sites (fractional):
Be1 0.000 0.000 0.000 x1
Al1 0.500 0.500 0.500 x1
Tl1 0.000 0.500 0.000 x2
W1 0.000 0.000 0.500 x1

Calculated values
- D(E_F): 3.53 states/eV/f.u.
- Formation enthalpy at 0 K: 1.103 eV per atom
- Crystal system: tetragonal
- Spin magnetization: 0.235 μB/atom

***

No. 10
Material: BeAg
Method: DFT, PBE
State: optimized geometry

a b c (Å): 4.615 4.615 4.615
angles (deg): 90.00 90.00 90.00
Space group Pm-3m (No. 221)
Symmetry-distinct sites (fractional):
Be1 0.000 0.000 0.500 x3
Ag1 0.000 0.500 0.500 x3

Calculated values
- D(E_F): 0.63 states/eV/f.u.
- Formation enthalpy at 0 K: 0.681 eV per atom
- Crystal system: cubic
- Spin magnetization: 0.000 μB/atom

***

No. 11
Material: MnReSeBr2
Method: DFT, PBE
State: optimized geometry

a b c (Å): 5.287 5.287 4.723
angles (deg): 90.00 90.00 90.00
Space group P4/mmm (No. 123)
Symmetry-distinct sites (fractional):
Mn1 0.000 0.000 0.000 x1
Re1 0.500 0.500 0.500 x1
Se1 0.500 0.500 0.000 x1
Br1 0.000 0.500 0.500 x2

Calculated values
- D(E_F): 3.25 states/eV/f.u.
- Crystal system: tetragonal
- Spin magnetization: 1.038 μB/atom
- E above lowest polymorph: 0.000 kcal/mol of atoms
- E_form (uncorrected): 0.676 eV per atom

***

No. 12
Material: RbGaO2
Method: DFT, PBE
State: optimized geometry

a b c (Å): 4.220 17.848 4.142
angles (deg): 90.00 90.00 90.00
Space group Cmcm (No. 63)
Symmetry-distinct sites (fractional):
Rb1 0.000 0.179 0.250 x4
Ga1 0.000 0.439 0.250 x4
O1 0.000 0.341 0.250 x4
O2 0.000 0.457 0.750 x4

Calculated values
- D(E_F): 0.00 states/eV/f.u.
- Crystal system: orthorhombic
- Spin magnetization: 0.000 μB/atom
- E_form (uncorrected): -1.491 eV per atom

***

No. 13
Material: TlSnHgBi
Method: DFT, PBE
State: optimized geometry

a b c (Å): 3.758 3.758 8.446
angles (deg): 90.00 90.00 90.00
Space group P4mm (No. 99)
Symmetry-distinct sites (fractional):
Tl1 0.000 0.000 0.000 x1
Sn1 0.000 0.000 0.513 x1
Hg1 0.500 0.500 0.748 x1
Bi1 0.500 0.500 0.284 x1

Calculated values
- D(E_F): 1.55 states/eV/f.u.
- Formation enthalpy at 0 K: 0.025 eV per atom
- Crystal system: tetragonal
- Spin magnetization: 0.000 μB/atom
- E above lowest polymorph: 0.000 kcal/mol of atoms

***

No. 14
Material: Cs2NaPdBr6
Method: DFT, PBE
State: optimized geometry

a b c (Å): 7.7566 7.7566 40.5445
angles (deg): 90.00 90.00 120.00
Space group R-3m (No. 166, hexagonal axes)
Symmetry-distinct sites (fractional):
Cs1 0.0000 0.0000 0.1237 x6
Cs2 0.0000 0.0000 0.2978 x6
Na1 0.0000 0.0000 0.4146 x6
Pd1 0.0000 0.0000 0.0000 x3
Pd2 0.0000 0.0000 0.5000 x3
Br1 0.0151 0.5075 0.1305 x18
Br2 0.0186 0.5093 0.7043 x18

Calculated values
- D(E_F): 4.36 states/eV/f.u.
- Crystal system: trigonal
- Spin magnetization: 0.085 μB/atom
- E above lowest polymorph: 0.000 kcal/mol of atoms
- E_form (uncorrected): -1.130 eV per atom

***

No. 15
Material: SrTcMo3
Method: DFT, PBE
State: optimized geometry

a b c (Å): 4.645 4.645 4.645
angles (deg): 90.00 90.00 90.00
Space group Pm-3m (No. 221)
Symmetry-distinct sites (fractional):
Sr1 0.000 0.000 0.000 x1
Tc1 0.500 0.500 0.500 x1
Mo1 0.000 0.000 0.500 x3

Calculated values
- D(E_F): 9.03 states/eV/f.u.
- Formation enthalpy at 0 K: 3.261 eV per atom
- Crystal system: cubic
- Spin magnetization: 0.000 μB/atom
- E above lowest polymorph: 46.027 kcal/mol of atoms

***

No. 16
Material: PrThSnHg
Method: DFT, PBE
State: optimized geometry

a b c (Å): 7.738 7.738 7.738
angles (deg): 90.00 90.00 90.00
Space group F-43m (No. 216)
Symmetry-distinct sites (fractional):
Pr1 0.000 0.000 0.000 x4
Th1 0.000 0.000 0.500 x4
Sn1 0.250 0.250 0.250 x4
Hg1 0.250 0.250 0.750 x4

Calculated values
- D(E_F): 3.45 states/eV/f.u.
- Formation enthalpy at 0 K: -0.434 eV per atom
- Crystal system: cubic
- Spin magnetization: 0.000 μB/atom

***

No. 17
Material: Na2Ga10Hg
Method: DFT, PBE
State: optimized geometry

a b c (Å): 6.157 18.323 5.670
angles (deg): 90.00 90.00 90.00
Space group Pbam (No. 55)
Symmetry-distinct sites (fractional):
Na1 0.157 0.171 0.000 x4
Ga1 0.034 0.771 0.500 x4
Ga2 0.072 0.931 0.500 x4
Ga3 0.163 0.348 0.228 x8
Ga4 0.189 0.633 0.500 x4
Hg1 0.000 0.500 0.500 x2

Calculated values
- D(E_F): 3.76 states/eV/f.u.
- Formation enthalpy at 0 K: 0.026 eV per atom
- Crystal system: orthorhombic
- Spin magnetization: 0.000 μB/atom

***

No. 18
Material: AgSn2Se3
Method: DFT, PBE
State: optimized geometry

a b c (Å): 4.165 5.810 12.353
angles (deg): 90.00 90.00 90.00
Space group Immm (No. 71)
Symmetry-distinct sites (fractional):
Ag1 0.000 0.000 0.000 x2
Sn1 0.000 0.000 0.332 x4
Se1 0.000 0.500 0.000 x2
Se2 0.000 0.500 0.336 x4

Calculated values
- D(E_F): 1.72 states/eV/f.u.
- Crystal system: orthorhombic
- Spin magnetization: 0.000 μB/atom
- E above lowest polymorph: 0.000 kcal/mol of atoms
- E_form (uncorrected): -0.330 eV per atom